# K2MoCF (PBE+U, optimized geometry)
# - total moment (μB per formula unit) = 3.31
# - E_tot (eV for the cell shown) = -20.11
data_K2MoCF
_symmetry_space_group_name_H-M 'P 4/m m m'
_symmetry_Int_Tables_number 123
_symmetry_space_group_name_Hall '-P 4 2'
_cell_length_a 5.8125
_cell_length_b 5.8125
_cell_length_c 4.1205
_cell_angle_alpha 90.00
_cell_angle_beta 90.00
_cell_angle_gamma 90.00
loop_
_atom_site_label
_atom_site_type_symbol
_atom_site_fract_x
_atom_site_fract_y
_atom_site_fract_z
K1 K 0.0000 0.5000 0.0000
Mo1 Mo 0.0000 0.0000 0.5000
C1 C 0.0000 0.0000 0.0000
F1 F 0.5000 0.5000 0.5000